Li4Fe3Ni3W2O16 | GGA+U | optimized geometry

abc: 5.948 5.948 9.724
angles: 89.93 89.93 60.03
Each line ends with the local moment (μB).
Sites, in units of the cell vectors:
Li 0.667 0.667 0.907  0.01
Li 0.998 0.998 0.987  0.00
Li 0.000 0.000 0.490  0.01
Li 0.333 0.333 0.410  0.01
Fe 0.833 0.342 0.215  4.31
Fe 0.342 0.833 0.215  4.31
Fe 0.171 0.171 0.718  4.26
Ni 0.830 0.830 0.212  1.74
Ni 0.660 0.170 0.712  1.66
Ni 0.170 0.660 0.712  1.66
W 0.670 0.670 0.488  0.13
W 0.339 0.339 0.984  0.12
O 0.830 0.346 0.589  0.04
O 0.519 0.519 0.349  0.18
O 0.662 0.662 0.109  0.21
O 0.002 0.002 0.301  0.18
O 0.001 0.001 0.799  0.02
O 0.346 0.830 0.589  0.04
O 0.961 0.514 0.351  0.12
O 0.514 0.961 0.351  0.12
O 0.173 0.173 0.091  0.10
O 0.828 0.828 0.586  0.02
O 0.476 0.037 0.851  0.12
O 0.037 0.476 0.851  0.12
O 0.330 0.330 0.612  0.02
O 0.656 0.175 0.088  0.06
O 0.481 0.481 0.852  0.05
O 0.175 0.656 0.088  0.06

Properties
As for the total energy: -6.17 eV per atom.